VASP calculation (GGA-PBE) on InSn2PbSe6 after structural relaxation.

Calculated values
M_tot	0.0000	μB per atom
space-group type	C2/c, No. 15
formation energy (no corrections)	-340	meV/atom
E_tot	-3.876	eV per atom

Cell: 8.0481 9.4362 9.4362 Å, 96.06 73.85 73.85°
Atoms (fractional coordinates):
In: 0.2500 0.1758 0.8242
In: 0.7500 0.8242 0.1758
Sn: 0.3337 0.7084 0.5390
Sn: 0.1663 0.4610 0.2916
Sn: 0.6663 0.2916 0.4610
Sn: 0.8337 0.5390 0.7084
Pb: 0.2500 0.8932 0.1068
Pb: 0.7500 0.1068 0.8932
Se: 0.1623 0.9226 0.8077
Se: 0.3377 0.1923 0.0774
Se: 0.8377 0.0774 0.1923
Se: 0.6623 0.8077 0.9226
Se: 0.4206 0.9018 0.3740
Se: 0.0794 0.6260 0.0982
Se: 0.5794 0.0982 0.6260
Se: 0.9206 0.3740 0.9018
Se: 0.9948 0.7073 0.5388
Se: 0.5052 0.4612 0.2927
Se: 0.0052 0.2927 0.4612
Se: 0.4948 0.5388 0.7073